8
Lattice="-3.579 3.070 -1.723 -3.254 -1.945 3.292 -2.038 4.111 4.243" Properties=species:S:1:pos:R:3 comment="BeBSe2, relaxed, DFT GGA-PBE" m_tot_mub_per_atom=0.00 raw_formation_energy_kj_per_mol_atoms=11.37 pbc="T T T"
B 0.000 0.000 0.000
B -4.517 3.872 1.652
Se -2.940 0.153 2.927
Se -4.045 3.533 3.724
Se -7.553 4.041 4.601
Se -3.203 2.747 0.371
Be -3.416 0.563 0.784
Be -4.354 1.365 4.160